# 1
MgZn2Ge | GGA-PBE | optimized geometry

- formation energy from the elements (eV/atom) = 0.085
- E above lowest polymorph (eV/atom) = 0.087

CIF file:
```
data_MgZn2Ge
_space_group_name_H-M_alt 'P 1'
_space_group_IT_number 1
_space_group_name_Hall 'P 1'
_cell_length_a 4.662
_cell_length_b 4.662
_cell_length_c 4.662
_cell_angle_alpha 60.00
_cell_angle_beta 60.00
_cell_angle_gamma 60.00
loop_
_atom_site_label
_atom_site_type_symbol
_atom_site_fract_x
_atom_site_fract_y
_atom_site_fract_z
Mg1 Mg 0.000 0.000 0.000
Ge1 Ge 0.500 0.500 0.500
Zn1 Zn 0.250 0.250 0.250
Zn2 Zn 0.750 0.750 0.750
```

# 2
Na3CdSi | GGA-PBE | optimized geometry

- formation energy without anion corrections (kJ per mole of atoms) = 28.96
- E above lowest polymorph (eV/atom) = 0.000

CIF file:
```
data_Na3CdSi
_space_group_name_H-M_alt 'P 1'
_space_group_IT_number 1
_space_group_name_Hall 'P 1'
_cell_length_a 5.645
_cell_length_b 5.645
_cell_length_c 5.645
_cell_angle_alpha 90.00
_cell_angle_beta 90.00
_cell_angle_gamma 90.00
loop_
_atom_site_label
_atom_site_type_symbol
_atom_site_fract_x
_atom_site_fract_y
_atom_site_fract_z
Na1 Na 0.000 0.500 0.000
Na2 Na 0.000 0.000 0.500
Na3 Na 0.500 0.000 0.000
Si1 Si 0.000 0.000 0.000
Cd1 Cd 0.500 0.500 0.500
```

# 3
Tb5PmPb4 | GGA-PBE | optimized geometry

- formation energy from the elements (eV/atom) = -0.251

CIF file:
```
data_Tb5PmPb4
_space_group_name_H-M_alt 'P 1'
_space_group_IT_number 1
_space_group_name_Hall 'P 1'
_cell_length_a 4.552
_cell_length_b 8.102
_cell_length_c 9.364
_cell_angle_alpha 102.38
_cell_angle_beta 104.07
_cell_angle_gamma 90.00
loop_
_atom_site_label
_atom_site_type_symbol
_atom_site_fract_x
_atom_site_fract_y
_atom_site_fract_z
Tb1 Tb 0.792 0.689 0.584
Tb2 Tb 0.861 0.275 0.721
Tb3 Tb 0.139 0.725 0.279
Tb4 Tb 0.500 0.500 0.000
Tb5 Tb 0.208 0.311 0.416
Pm1 Pm 0.500 0.000 0.000
Pb1 Pb 0.315 0.986 0.630
Pb2 Pb 0.962 0.719 0.924
Pb3 Pb 0.685 0.014 0.370
Pb4 Pb 0.038 0.281 0.076
```

# 4
Mo4P3 | GGA-PBE | optimized geometry

- formation energy from the elements (eV/atom) = -0.341
- E above lowest polymorph (eV/atom) = 0.000

CIF file:
```
data_Mo4P3
_space_group_name_H-M_alt 'P 1'
_space_group_IT_number 1
_space_group_name_Hall 'P 1'
_cell_length_a 10.635
_cell_length_b 10.635
_cell_length_c 10.635
_cell_angle_alpha 163.29
_cell_angle_beta 163.29
_cell_angle_gamma 23.72
loop_
_atom_site_label
_atom_site_type_symbol
_atom_site_fract_x
_atom_site_fract_y
_atom_site_fract_z
Mo1 Mo 0.839 0.839 0.000
Mo2 Mo 0.161 0.161 0.000
Mo3 Mo 0.569 0.569 0.000
Mo4 Mo 0.431 0.431 0.000
P1 P 0.000 0.000 0.000
P2 P 0.712 0.712 0.000
P3 P 0.288 0.288 0.000
```

Computed values of calculated total energy (unit: eV/atom) for the preceding records, in sequence: -2.105; -1.759; -4.525; -8.848.